# 1
Compound: Tb5SmY3
Source: the Alexandria database
Functional: PBE
Structure: relaxed

Summary:
The energy of formation from the pure elements comes out at 0.517 eV per atom. For the energy above the most stable polymorph in this dataset, the calculation gives 224 meV/atom.

Unit cell a=15.189 b=11.471 c=9.955 alpha=90.00 beta=130.05 gamma=90.00
Space group C2/m (No. 12)
Symmetry-distinct sites (fractional):
1 Tb 0.000 0.243 0.000 [4 per cell]
2 Tb 0.150 0.249 0.752 [8 per cell]
3 Tb 0.224 0.500 0.043 [4 per cell]
4 Tb 0.225 0.000 0.232 [4 per cell]
5 Sm 0.248 0.000 0.594 [4 per cell]
6 Y 0.000 0.000 0.500 [2 per cell]
7 Y 0.000 0.500 0.000 [2 per cell]
8 Y 0.009 0.000 0.820 [4 per cell]
9 Y 0.019 0.500 0.359 [4 per cell]

# 2
Compound: La2BeHg
Source: the Alexandria database
Functional: PBE
Structure: relaxed

Summary:
The energy of formation from the pure elements comes out at 0.036 eV per atom. For the energy above the most stable polymorph in this dataset, the calculation gives 190 meV/atom.

Unit cell a=4.523 b=4.523 c=10.202 alpha=90.00 beta=90.00 gamma=90.00
Space group I-4m2 (No. 119)
Symmetry-distinct sites (fractional):
1 La 0.000 0.000 0.000 [2 per cell]
2 La 0.000 0.500 0.250 [2 per cell]
3 Be 0.000 0.500 0.750 [2 per cell]
4 Hg 0.000 0.000 0.500 [2 per cell]

# 3
Compound: LaPmGa
Source: the Alexandria database
Functional: PBE
Structure: relaxed

Summary:
The energy of formation from the pure elements comes out at -0.295 eV per atom. For the energy above the most stable polymorph in this dataset, the calculation gives 117 meV/atom.

Unit cell a=5.0106 b=5.0106 c=3.8825 alpha=90.00 beta=90.00 gamma=120.00
Space group P3m1 (No. 156)
Symmetry-distinct sites (fractional):
1 La 0.0000 0.0000 0.0000 [1 per cell]
2 Pm 0.3333 0.6667 0.4005 [1 per cell]
3 Ga 0.6667 0.3333 0.6535 [1 per cell]

# 4
Compound: TbNbC2
Source: the Alexandria database
Functional: PBE
Structure: relaxed

Summary:
The energy of formation from the pure elements comes out at -0.132 eV per atom. For the energy above the most stable polymorph in this dataset, the calculation gives 245 meV/atom.

Unit cell a=3.2858 b=3.2858 c=17.6163 alpha=90.00 beta=90.00 gamma=120.00
Space group R3m (No. 160, hexagonal axes)
Symmetry-distinct sites (fractional):
1 Tb 0.0000 0.0000 0.0000 [3 per cell]
2 Nb 0.0000 0.0000 0.1742 [3 per cell]
3 C 0.0000 0.0000 0.5767 [3 per cell]
4 C 0.0000 0.0000 0.7672 [3 per cell]

# 5
Compound: Tl2CuBr5
Source: the Alexandria database
Functional: PBE
Structure: relaxed

Summary:
For the energy above the most stable polymorph in this dataset, the calculation gives 4 meV/atom.

Unit cell a=6.424 b=6.464 c=6.886 alpha=93.03 beta=92.03 gamma=90.74
Space group P1 (No. 1)
Symmetry-distinct sites (fractional):
1 Tl 0.000 0.000 0.000 [1 per cell]
2 Tl 0.492 0.498 0.969 [1 per cell]
3 Cu 0.521 0.960 0.546 [1 per cell]
4 Br 0.269 0.207 0.451 [1 per cell]
5 Br 0.500 0.991 0.917 [1 per cell]
6 Br 0.528 0.600 0.462 [1 per cell]
7 Br 0.881 0.956 0.481 [1 per cell]
8 Br 0.992 0.498 0.975 [1 per cell]

# 6
Compound: GdScIn2
Source: the Alexandria database
Functional: PBE
Structure: relaxed

Summary:
The energy of formation from the pure elements comes out at -0.291 eV per atom. For the energy above the most stable polymorph in this dataset, the calculation gives 167 meV/atom.

Unit cell a=3.5215 b=3.5215 c=29.5887 alpha=90.00 beta=90.00 gamma=120.00
Space group R-3m (No. 166, hexagonal axes)
Symmetry-distinct sites (fractional):
1 Gd 0.0000 0.0000 0.0000 [3 per cell]
2 Sc 0.0000 0.0000 0.5000 [3 per cell]
3 In 0.0000 0.0000 0.2455 [6 per cell]